Record 1
Density functional theory data (GGA-PBE) for a geometry-optimized NdPuIr structure.

The structure in POSCAR format:
```
NdPuIr
1.0
4.8765 0.0000 0.0000
2.4382 4.2232 0.0000
2.4382 1.4077 3.9816
Ir Nd Pu
1 1 1
Cartesian
2.4382 1.4077 0.9954
0.0000 0.0000 0.0000
4.8765 2.8154 1.9908
```

Summary:
Its space-group type is No. 216. The relative energy among the computed polymorphs is 130.3 meV/atom.

Record 2
Density functional theory data (GGA-PBE) for a geometry-optimized Li3Zn11 structure.

The structure in POSCAR format:
```
Li3Zn11
1.0
4.1877 0.0000 1.1095
1.5780 7.2364 2.5020
0.1705 0.1442 7.8145
Li Zn
3 11
Cartesian
2.4564 5.2386 7.6444
0.0000 0.0000 0.0000
3.4798 2.1420 3.7816
4.4494 7.1375 8.5798
4.4337 3.0104 8.6391
0.8743 3.6903 5.1583
0.8625 1.1451 5.2027
1.4868 0.2431 2.8462
3.2100 4.9092 4.8000
4.0542 5.1459 10.0717
1.8820 2.2348 1.3543
5.0738 6.2356 6.2233
2.7262 2.4714 6.6260
1.5025 4.3702 2.7869
```

Summary:
The calculation puts the total energy at -1.483 eV per atom. Its space-group type is No. 71.